(1)
{"formula": "Nd5Ag2Ru2", "functional": "PBE-GGA", "state": "relaxed", "mass_density_g_cm3": 8.0, "m_tot_mub_per_fu": 0.00, "relative_energy_kj_per_mol_atoms": 4.85, "delta_e_f_ev_per_atom": -0.1657, "lattice": [[-9.736, 3.275, 3.722], [9.736, -3.275, 3.722], [9.736, 3.275, -3.722]], "species": ["Nd", "Nd", "Nd", "Nd", "Nd", "Nd", "Nd", "Nd", "Nd", "Nd", "Ag", "Ag", "Ag", "Ag", "Ru", "Ru", "Ru", "Ru"], "frac_coords": [[0.128, 0.024, 0.605], [0.160, 0.077, 0.237], [0.160, 0.423, 0.583], [0.419, 0.524, 0.395], [0.483, 0.804, 0.003], [0.483, 0.980, 0.179], [0.800, 0.304, 0.821], [0.800, 0.480, 0.997], [0.840, 0.577, 0.417], [0.840, 0.923, 0.763], [0.226, 0.406, 0.933], [0.226, 0.793, 0.320], [0.473, 0.293, 0.067], [0.473, 0.906, 0.680], [0.714, 0.214, 0.500], [0.714, 0.714, 0.000], [0.905, 0.188, 0.217], [0.972, 0.688, 0.783]]}

(2)
{"formula": "NdDyY2Th", "functional": "PBE-GGA", "state": "relaxed", "mass_density_g_cm3": 6.8, "m_tot_mub_per_fu": 0.00, "delta_e_f_ev_per_atom": 0.3343, "lattice": [[8.644, 0.000, 0.000], [0.000, 6.453, 0.000], [-0.943, 0.000, 6.250]], "species": ["Nd", "Nd", "Dy", "Dy", "Y", "Y", "Y", "Y", "Th", "Th"], "frac_coords": [[0.000, 0.000, 0.000], [0.000, 0.000, 0.500], [0.500, 0.173, 0.250], [0.500, 0.827, 0.750], [0.314, 0.314, 0.704], [0.314, 0.686, 0.204], [0.686, 0.314, 0.796], [0.686, 0.686, 0.296], [0.000, 0.450, 0.250], [0.000, 0.550, 0.750]]}

(3)
{"formula": "K2CdBi2Pb", "functional": "PBE-GGA", "state": "relaxed", "mass_density_g_cm3": 5.9, "m_tot_mub_per_fu": 0.00, "delta_e_f_ev_per_atom": -0.2848, "lattice": [[-3.661, 8.431, 3.724], [3.661, -8.431, 3.724], [3.661, 8.431, -3.724]], "species": ["K", "K", "K", "K", "Cd", "Cd", "Bi", "Bi", "Bi", "Bi", "Pb", "Pb"], "frac_coords": [[0.168, 0.241, 0.409], [0.332, 0.741, 0.072], [0.668, 0.259, 0.928], [0.832, 0.759, 0.591], [0.250, 0.750, 0.500], [0.750, 0.250, 0.500], [0.110, 0.725, 0.835], [0.390, 0.225, 0.615], [0.610, 0.775, 0.385], [0.890, 0.275, 0.165], [0.250, 0.250, 0.000], [0.750, 0.750, 0.000]]}

(4)
{"formula": "NbSiSeBr2", "functional": "PBE-GGA", "state": "relaxed", "mass_density_g_cm3": 4.3, "m_tot_mub_per_fu": 2.85, "relative_energy_kj_per_mol_atoms": 0.00, "raw_formation_energy_ev_per_atom": 0.289, "lattice": [[5.263, 0.000, 0.000], [0.000, 5.263, 0.000], [0.000, 0.000, 5.061]], "species": ["Nb", "Si", "Se", "Br", "Br"], "frac_coords": [[0.000, 0.000, 0.000], [0.500, 0.500, 0.500], [0.000, 0.000, 0.500], [0.000, 0.500, 0.000], [0.500, 0.000, 0.000]]}

(5)
{"formula": "ScCdGe2", "functional": "PBE-GGA", "state": "relaxed", "mass_density_g_cm3": 6.5, "m_tot_mub_per_fu": 0.00, "delta_e_f_ev_per_atom": -0.3149, "lattice": [[4.409, 0.000, 0.000], [0.000, 4.409, 0.000], [0.000, 0.000, 3.972]], "species": ["Sc", "Cd", "Ge", "Ge"], "frac_coords": [[0.000, 0.000, 0.000], [0.500, 0.500, 0.000], [0.000, 0.500, 0.500], [0.500, 0.000, 0.500]]}

(6)
{"formula": "MoPRh", "functional": "PBE-GGA", "state": "relaxed", "mass_density_g_cm3": 9.1, "m_tot_mub_per_fu": 0.00, "delta_e_f_ev_per_atom": -0.3141, "lattice": [[-1.470, 1.470, 4.834], [1.470, -1.470, 4.834], [1.470, 1.470, -4.834]], "species": ["Mo", "P", "Rh"], "frac_coords": [[0.000, 0.000, 0.000], [0.361, 0.361, 0.000], [0.699, 0.699, 0.000]]}

(7)
{"formula": "BaMg2HgCl8", "functional": "PBE-GGA", "state": "relaxed", "mass_density_g_cm3": 3.4, "m_tot_mub_per_fu": 0.00, "raw_formation_energy_ev_per_atom": -1.607, "lattice": [[6.303, 0.000, 0.000], [0.000, 7.991, 0.000], [-0.224, 0.000, 6.542]], "species": ["Ba", "Mg", "Mg", "Hg", "Cl", "Cl", "Cl", "Cl", "Cl", "Cl", "Cl", "Cl"], "frac_coords": [[0.000, 0.000, 0.000], [0.500, 0.262, 0.500], [0.500, 0.738, 0.500], [0.000, 0.500, 0.000], [0.267, 0.278, 0.175], [0.267, 0.722, 0.175], [0.277, 0.500, 0.645], [0.295, 0.000, 0.632], [0.705, 0.000, 0.368], [0.723, 0.500, 0.355], [0.733, 0.278, 0.825], [0.733, 0.722, 0.825]]}

(8)
{"formula": "Ba2YNpS6", "functional": "PBE-GGA", "state": "relaxed", "mass_density_g_cm3": 4.7, "m_tot_mub_per_fu": 2.00, "raw_formation_energy_ev_per_atom": -1.792, "lattice": [[7.208, 0.000, 0.000], [0.000, 7.453, 0.000], [-7.198, 0.000, 10.335]], "species": ["Ba", "Ba", "Ba", "Ba", "Y", "Y", "Np", "Np", "S", "S", "S", "S", "S", "S", "S", "S", "S", "S", "S", "S"], "frac_coords": [[0.235, 0.059, 0.250], [0.235, 0.441, 0.750], [0.765, 0.559, 0.250], [0.765, 0.941, 0.750], [0.500, 0.000, 0.000], [0.500, 0.500, 0.500], [0.000, 0.000, 0.500], [0.000, 0.500, 0.000], [0.155, 0.211, 0.956], [0.155, 0.289, 0.456], [0.247, 0.700, 0.958], [0.247, 0.800, 0.458], [0.325, 0.018, 0.744], [0.325, 0.482, 0.244], [0.675, 0.518, 0.756], [0.675, 0.982, 0.256], [0.753, 0.200, 0.542], [0.753, 0.300, 0.042], [0.845, 0.711, 0.544], [0.845, 0.789, 0.044]]}

(9)
{"formula": "KRb2SrAl", "functional": "PBE-GGA", "state": "relaxed", "mass_density_g_cm3": 1.4, "m_tot_mub_per_fu": 0.99, "delta_e_f_ev_per_atom": 0.8113, "lattice": [[7.098, 0.000, 0.000], [0.000, 7.098, 0.000], [0.000, 0.000, 7.561]], "species": ["K", "Rb", "Rb", "Sr", "Al"], "frac_coords": [[0.000, 0.000, 0.000], [0.000, 0.500, 0.000], [0.500, 0.000, 0.000], [0.000, 0.000, 0.500], [0.500, 0.500, 0.500]]}

(10)
{"formula": "La2NdEr6", "functional": "PBE-GGA", "state": "relaxed", "mass_density_g_cm3": 7.9, "m_tot_mub_per_fu": 0.00, "relative_energy_kj_per_mol_atoms": 15.72, "delta_e_f_ev_per_atom": 0.1995, "lattice": [[-1.698, 5.028, 8.768], [1.698, -5.028, 8.768], [1.698, 5.028, -8.768]], "species": ["La", "La", "Nd", "Er", "Er", "Er", "Er", "Er", "Er"], "frac_coords": [[0.166, 0.166, 0.000], [0.834, 0.834, 0.000], [0.500, 0.500, 0.000], [0.147, 0.333, 0.814], [0.191, 0.000, 0.191], [0.480, 0.667, 0.814], [0.520, 0.333, 0.186], [0.809, 0.000, 0.809], [0.853, 0.667, 0.186]]}

Across the entries above, calculated total energy takes the values -99.2 -56.1 -32.6 -20.9 -17.7 -24.5 -39.5 -131.9 -4.4 -40.2 eV per cell, respectively.